# SnBi3Pb5

A relaxed SnBi3Pb5 crystal (PBE, Alexandria via LeMat-Bulk).

## Properties
formation energy from the elements: 30 meV per atom
spin magnetization: 0.000 μB per cell

Structure (POSCAR):
```
SnBi3Pb5
1.0
9.7561 0.0000 0.0000
0.0000 6.7167 0.0000
-4.4511 0.0000 8.7437
Sn Bi Pb
2 6 10
direct
0.0000 0.0000 0.0000
0.0000 0.5000 0.0000
0.0120 0.2500 0.6799
0.3168 0.7500 0.9875
0.3480 0.2500 0.3445
0.6520 0.7500 0.6555
0.6832 0.2500 0.0125
0.9880 0.7500 0.3201
0.0063 0.2500 0.3352
0.3274 0.7500 0.3274
0.3321 0.9998 0.6657
0.3321 0.5002 0.6657
0.3365 0.2500 0.0033
0.6635 0.7500 0.9967
0.6679 0.0002 0.3343
0.6679 0.4998 0.3343
0.6726 0.2500 0.6726
0.9937 0.7500 0.6648
```